Compound: Rb2Dy2PbO6
Source: the Alexandria database
Functional: GGA-PBE
Structure: optimized geometry

Results
Electronic total energy ... -6.29 eV per atom
V ... 19.0 Å³/atom

a b c (Å): 5.9928 5.9928 6.9821
angles (deg): 97.90 97.90 120.03
With the nearest neighbours (Å) after each atom.
Fractional coordinates of all 11 atoms:
Rb: 0.1656 0.8344 0.0000  6 O 2.94-3.01
Rb: 0.8344 0.1656 0.0000  6 O 2.94-3.01
Dy: 0.3343 0.6657 0.5000  6 O 2.29-2.32
Dy: 0.6657 0.3343 0.5000  6 O 2.29-2.32
Pb: 0.0000 0.0000 0.5000  6 O 2.22-2.29
O: 0.0494 0.3834 0.6691  1 Pb 2.29, 2 Dy 2.29-2.32
O: 0.2656 0.2656 0.3317  1 Pb 2.22, 2 Dy 2.32
O: 0.3834 0.0494 0.6691  1 Pb 2.29, 2 Dy 2.29-2.32
O: 0.6166 0.9506 0.3309  1 Pb 2.29, 2 Dy 2.29-2.32
O: 0.7344 0.7344 0.6683  1 Pb 2.22, 2 Dy 2.32
O: 0.9506 0.6166 0.3309  1 Pb 2.29, 2 Dy 2.29-2.32

Compound: Ca14AcPr
Source: the Alexandria database
Functional: GGA-PBE
Structure: optimized geometry

Results
Electronic total energy ... -2.26 eV per atom
V ... 41.9 Å³/atom

a b c (Å): 11.0109 7.8060 7.8060
angles (deg): 90.03 90.00 90.00
With the nearest neighbours (Å) after each atom.
Fractional coordinates of all 16 atoms:
Ca: 0.0000 0.0000 0.0000  12 Ca 3.88-3.90
Ca: 0.0000 0.0000 0.5000  12 Ca 3.90
Ca: 0.0000 0.5000 0.0000  12 Ca 3.90
Ca: 0.0000 0.4999 0.4999  12 Ca 3.90-3.92
Ca: 0.2504 0.2473 0.2473  10 Ca 3.86-3.94, 1 Pr 3.87, 1 Ac 3.91
Ca: 0.2506 0.2471 0.7526  10 Ca 3.86-3.94, 1 Pr 3.87, 1 Ac 3.92
Ca: 0.2506 0.7523 0.7523  10 Ca 3.86-3.94, 1 Pr 3.87, 1 Ac 3.92
Ca: 0.2506 0.7526 0.2471  10 Ca 3.86-3.94, 1 Pr 3.87, 1 Ac 3.92
Ca: 0.5000 0.9995 0.4998  8 Ca 3.89-3.90, 2 Ac 3.90, 2 Pr 3.90
Ca: 0.5000 0.4998 0.9995  8 Ca 3.89-3.90, 2 Ac 3.90, 2 Pr 3.90
Ca: 0.7494 0.2471 0.7526  10 Ca 3.86-3.94, 1 Pr 3.87, 1 Ac 3.92
Ca: 0.7494 0.7523 0.7523  10 Ca 3.86-3.94, 1 Pr 3.87, 1 Ac 3.92
Ca: 0.7494 0.7526 0.2471  10 Ca 3.86-3.94, 1 Pr 3.87, 1 Ac 3.92
Ca: 0.7496 0.2473 0.2473  10 Ca 3.86-3.94, 1 Pr 3.87, 1 Ac 3.91
Ac: 0.5000 0.4993 0.4993  12 Ca 3.90-3.92
Pr: 0.5000 0.9999 0.9999  12 Ca 3.87-3.90

Compound: Cs2PaIn2O6
Source: the Alexandria database
Functional: GGA-PBE
Structure: optimized geometry

Results
Electronic total energy ... -6.27 eV per atom
V ... 21.2 Å³/atom

a b c (Å): 6.4669 6.4669 7.4444
angles (deg): 115.84 115.84 60.26
With the nearest neighbours (Å) after each atom.
Fractional coordinates of all 11 atoms:
Cs: 0.2111 0.2111 0.1649  9 O 3.21-3.48
Cs: 0.7889 0.7889 0.8351  9 O 3.21-3.48
Pa: 0.0000 0.0000 0.5000  6 O 2.17-2.19
In: 0.4353 0.4353 0.7717  3 O 2.05-2.06
In: 0.5647 0.5647 0.2283  3 O 2.05-2.06
O: 0.2185 0.7468 0.2783  1 In 2.06, 1 Pa 2.19
O: 0.2238 0.2238 0.6381  1 In 2.05, 1 Pa 2.17
O: 0.2532 0.7815 0.7217  1 In 2.06, 1 Pa 2.19
O: 0.7468 0.2185 0.2783  1 In 2.06, 1 Pa 2.19
O: 0.7762 0.7762 0.3619  1 In 2.05, 1 Pa 2.17
O: 0.7815 0.2532 0.7217  1 In 2.06, 1 Pa 2.19